Entry 1:
Material: Na8B11C5
Method: DFT, PBE
State: relaxed

Results
**E above lowest polymorph**: 45 meV/atom
**DFT formation energy**: 0.1462 eV per atom
**Total magnetization**: 0.00 μB per atom

Unit cell a=2.886 b=2.886 c=34.199 alpha=90.00 beta=90.00 gamma=120.00
Positions (direct):
Na: 0.000 0.000 0.062
Na: 0.000 0.000 0.189
Na: 0.000 0.000 0.313
Na: 0.000 0.000 0.436
Na: 0.000 0.000 0.564
Na: 0.000 0.000 0.687
Na: 0.000 0.000 0.811
Na: 0.000 0.000 0.938
B: 0.333 0.667 0.000
B: 0.333 0.667 0.125
B: 0.333 0.667 0.251
B: 0.333 0.667 0.500
B: 0.333 0.667 0.749
B: 0.333 0.667 0.875
B: 0.667 0.333 0.125
B: 0.667 0.333 0.374
B: 0.667 0.333 0.500
B: 0.667 0.333 0.626
B: 0.667 0.333 0.875
C: 0.333 0.667 0.374
C: 0.333 0.667 0.626
C: 0.667 0.333 0.000
C: 0.667 0.333 0.251
C: 0.667 0.333 0.749



Entry 2:
Material: Hf8TlBi2
Method: DFT, PBE
State: relaxed

Results
**DFT formation energy**: 0.1467 eV per atom
**Total magnetization**: 0.00 μB per atom

Unit cell a=8.419 b=8.419 c=5.908 alpha=105.17 beta=105.17 gamma=40.98
Positions (direct):
Hf: 0.092 0.092 0.952
Hf: 0.156 0.683 0.563
Hf: 0.254 0.254 0.623
Hf: 0.317 0.844 0.437
Hf: 0.683 0.156 0.563
Hf: 0.746 0.746 0.377
Hf: 0.844 0.317 0.437
Hf: 0.908 0.908 0.048
Tl: 0.500 0.500 0.000
Bi: 0.302 0.302 0.152
Bi: 0.698 0.698 0.848



Entry 3:
Material: CdHgSe2
Method: DFT, PBE
State: relaxed

Results
**Formation energy from raw total energies**: -1.67 eV per formula unit
**E above lowest polymorph**: 0 meV/atom
**Total magnetization**: 0.00 μB per atom

Unit cell a=4.408 b=4.408 c=7.622 alpha=106.82 beta=106.82 gamma=60.00
Positions (direct):
Cd: 0.000 0.000 0.000
Hg: 0.502 0.502 0.502
Se: 0.126 0.126 0.374
Se: 0.627 0.627 0.879



Entry 4:
Material: Mn2NiAu
Method: DFT, PBE
State: relaxed

Results
**E above lowest polymorph**: 101 meV/atom
**DFT formation energy**: 0.1021 eV per atom
**Total magnetization**: 2.06 μB per atom

Unit cell a=4.822 b=4.822 c=4.521 alpha=103.43 beta=103.43 gamma=35.08
Positions (direct):
Mn: 0.000 0.000 0.000
Mn: 0.236 0.236 0.699
Ni: 0.502 0.502 0.518
Au: 0.754 0.754 0.218



Please write out number 4 again, unchanged.
Material: Mn2NiAu
Method: DFT, PBE
State: relaxed

Results
**E above lowest polymorph**: 101 meV/atom
**DFT formation energy**: 0.1021 eV per atom
**Total magnetization**: 2.06 μB per atom

Unit cell a=4.822 b=4.822 c=4.521 alpha=103.43 beta=103.43 gamma=35.08
Positions (direct):
Mn: 0.000 0.000 0.000
Mn: 0.236 0.236 0.699
Ni: 0.502 0.502 0.518
Au: 0.754 0.754 0.218



What is the total magnetization in the first record?
0.00 μB per atom



Which formula does entry 3 have?
CdHgSe2



Among the records above, which one has the highest total magnetization?
Mn2NiAu